# KPr2AgBr8 (GGA-PBE, optimized geometry)
data_KPr2AgBr8
_chemical_formula_sum 'K1 Pr2 Ag1 Br8'
_cell_length_a 7.052
_cell_length_b 8.982
_cell_length_c 7.296
_cell_angle_alpha 90.00
_cell_angle_beta 95.60
_cell_angle_gamma 90.00
_symmetry_space_group_name_H-M 'P 1'
_symmetry_Int_Tables_number 1
loop_
_symmetry_equiv_pos_as_xyz
'x,y,z'
loop_
_atom_site_label
_atom_site_fract_x
_atom_site_fract_y
_atom_site_fract_z
_atom_site_occupancy
K1 0.000 0.000 0.000 1
Pr1 0.500 0.257 0.500 1
Pr2 0.500 0.743 0.500 1
Ag1 0.000 0.500 0.000 1
Br1 0.242 0.278 0.168 1
Br2 0.242 0.722 0.168 1
Br3 0.278 0.500 0.650 1
Br4 0.287 0.000 0.642 1
Br5 0.713 0.000 0.358 1
Br6 0.722 0.500 0.350 1
Br7 0.758 0.278 0.832 1
Br8 0.758 0.722 0.832 1
# formation energy (no corrections) = -1.567 eV per atom
# E = -3.81 eV/atom
# symmetry = No. 10